VASP calculation (GGA+U) on a relaxed structure of Mg2NbCoO6.

It has space group R3 (No. 146, hexagonal axes), with a = 5.1285 Å, b = 5.1285 Å, c = 13.7234 Å, α = 90.00°, β = 90.00° and γ = 120.00°. The distinct sites, in fractional coordinates, are Mg at (0.0000, 0.0000, 0.0000), Mg at (0.0000, 0.0000, 0.4933), Nb at (0.0000, 0.0000, 0.2065), Co at (0.0000, 0.0000, 0.7016), O at (0.0441, 0.7017, 0.7756) and O at (0.0488, 0.3545, 0.2782).

For the calculated total energy, the calculation gives -6.9732 eV per atom.